# 1
# ZrPaMn PBE-GGA relaxed
data_ZrPaMn
_chemical_formula_sum 'Zr2 Pa2 Mn2'
_cell_length_a 3.3489
_cell_length_b 3.3489
_cell_length_c 10.3320
_cell_angle_alpha 90.00
_cell_angle_beta 90.00
_cell_angle_gamma 90.00
_symmetry_space_group_name_H-M 'I 4 m m'
_symmetry_Int_Tables_number 107
_symmetry_space_group_name_Hall 'I 4 -2'
loop_
_atom_site_label
_atom_site_type_symbol
_atom_site_fract_x
_atom_site_fract_y
_atom_site_fract_z
Zr1 Zr 0.0000 0.0000 0.0000
Pa1 Pa 0.0000 0.0000 0.7026
Mn1 Mn 0.0000 0.0000 0.3122
# - Crystal system: tetragonal
# - M_tot: 0.00 μB per cell
# - Energy relative to the elements: 0.016 eV per atom
# - N(E_F): 3.0 states/eV/f.u.

---

# 2
# Zr2PaMn PBE-GGA relaxed
data_Zr2PaMn
_chemical_formula_sum 'Zr2 Pa1 Mn1'
_cell_length_a 3.1949
_cell_length_b 3.1949
_cell_length_c 7.9956
_cell_angle_alpha 90.00
_cell_angle_beta 90.00
_cell_angle_gamma 90.00
_symmetry_space_group_name_H-M 'P 4/m m m'
_symmetry_Int_Tables_number 123
_symmetry_space_group_name_Hall '-P 4 2'
loop_
_atom_site_label
_atom_site_type_symbol
_atom_site_fract_x
_atom_site_fract_y
_atom_site_fract_z
Zr1 Zr 0.0000 0.0000 0.1948
Pa1 Pa 0.5000 0.5000 0.5000
Mn1 Mn 0.5000 0.5000 0.0000
# - Crystal system: tetragonal
# - M_tot: 0.00 μB per cell
# - Energy relative to the elements: 0.059 eV per atom
# - N(E_F): 6.1 states/eV/f.u.

---

# 3
# MnPb3 PBE-GGA relaxed
data_MnPb3
_chemical_formula_sum 'Mn4 Pb12'
_cell_length_a 7.6265
_cell_length_b 7.6265
_cell_length_c 7.6265
_cell_angle_alpha 90.00
_cell_angle_beta 90.00
_cell_angle_gamma 90.00
_symmetry_space_group_name_H-M 'F m -3 m'
_symmetry_Int_Tables_number 225
_symmetry_space_group_name_Hall '-F 4 2 3'
loop_
_atom_site_label
_atom_site_type_symbol
_atom_site_fract_x
_atom_site_fract_y
_atom_site_fract_z
Mn1 Mn 0.0000 0.0000 0.0000
Pb1 Pb 0.0000 0.0000 0.5000
Pb2 Pb 0.2500 0.2500 0.2500
# - Crystal system: cubic
# - M_tot: 16.24 μB per cell
# - Energy relative to the elements: 0.400 eV per atom
# - N(E_F): 2.2 states/eV/f.u.

---

# 4
# Mn5Pb PBE-GGA relaxed
data_Mn5Pb
_chemical_formula_sum 'Mn10 Pb2'
_cell_length_a 8.4970
_cell_length_b 3.6832
_cell_length_c 5.6403
_cell_angle_alpha 90.00
_cell_angle_beta 107.23
_cell_angle_gamma 90.00
_symmetry_space_group_name_H-M 'C 1 2/m 1'
_symmetry_Int_Tables_number 12
loop_
_symmetry_equiv_pos_as_xyz
'x,y,z'
'-x,-y,-z'
'-x,y,-z'
'x,-y,z'
'x+1/2,y+1/2,z'
'-x+1/2,-y+1/2,-z'
'-x+1/2,y+1/2,-z'
'x+1/2,-y+1/2,z'
loop_
_atom_site_label
_atom_site_type_symbol
_atom_site_fract_x
_atom_site_fract_y
_atom_site_fract_z
Mn1 Mn 0.0000 0.0000 0.0000
Mn2 Mn 0.1649 0.5000 0.2969
Mn3 Mn 0.1776 0.5000 0.8561
Pb1 Pb 0.0000 0.0000 0.5000
# - Crystal system: monoclinic
# - M_tot: 5.48 μB per cell
# - Energy relative to the elements: 0.332 eV per atom
# - N(E_F): 7.1 states/eV/f.u.